# 1
# GdHoTm2 PBE optimized geometry
# energy of formation from the pure elements = 4.6 meV/atom
# calculated volume = 247.5 Å³/cell
# total magnetic moment = 0.02 μB per atom
# space group = No. 40
data_GdHoTm2
_cell_length_a 5.582
_cell_length_b 7.155
_cell_length_c 7.155
_cell_angle_alpha 120.01
_cell_angle_beta 90.00
_cell_angle_gamma 90.00
_symmetry_space_group_name_H-M 'P 1'
_symmetry_Int_Tables_number 1
_symmetry_space_group_name_Hall 'P 1'
loop_
_atom_site_label
_atom_site_type_symbol
_atom_site_fract_x
_atom_site_fract_y
_atom_site_fract_z
Tm1 Tm 0.250 0.166 0.332
Tm2 Tm 0.750 0.332 0.166
Tm3 Tm 0.750 0.834 0.166
Tm4 Tm 0.250 0.166 0.834
Ho1 Ho 0.750 0.834 0.668
Ho2 Ho 0.250 0.668 0.834
Gd1 Gd 0.750 0.333 0.667
Gd2 Gd 0.250 0.667 0.333


# 2
# LuInFeCo PBE optimized geometry
# distance to the lowest polymorph of the same formula = 0.0 kJ per mole of atoms
# calculated volume = 66.1 Å³/cell
# total magnetic moment = 0.61 μB per atom
# space group = No. 216
data_LuInFeCo
_cell_length_a 4.538
_cell_length_b 4.538
_cell_length_c 4.538
_cell_angle_alpha 60.00
_cell_angle_beta 60.00
_cell_angle_gamma 60.00
_symmetry_space_group_name_H-M 'P 1'
_symmetry_Int_Tables_number 1
_symmetry_space_group_name_Hall 'P 1'
loop_
_atom_site_label
_atom_site_type_symbol
_atom_site_fract_x
_atom_site_fract_y
_atom_site_fract_z
Fe1 Fe 0.250 0.250 0.250
Co1 Co 0.750 0.750 0.750
Lu1 Lu 0.500 0.500 0.500
In1 In 0.000 0.000 0.000


# 3
# ErInFeTe3 PBE optimized geometry
# calculated volume = 368.2 Å³/cell
# uncorrected energy = -4.733 eV per atom
# total magnetic moment = 0.64 μB per atom
# space group = No. 63
data_ErInFeTe3
_cell_length_a 8.030
_cell_length_b 8.030
_cell_length_c 11.165
_cell_angle_alpha 90.00
_cell_angle_beta 90.00
_cell_angle_gamma 149.24
_symmetry_space_group_name_H-M 'P 1'
_symmetry_Int_Tables_number 1
_symmetry_space_group_name_Hall 'P 1'
loop_
_atom_site_label
_atom_site_type_symbol
_atom_site_fract_x
_atom_site_fract_y
_atom_site_fract_z
Er1 Er 0.000 0.000 0.500
Er2 Er 0.000 0.000 0.000
Te1 Te 0.367 0.633 0.932
Te2 Te 0.079 0.921 0.750
Te3 Te 0.367 0.633 0.568
Te4 Te 0.921 0.079 0.250
Te5 Te 0.633 0.367 0.068
Te6 Te 0.633 0.367 0.432
Fe1 Fe 0.526 0.474 0.250
Fe2 Fe 0.474 0.526 0.750
In1 In 0.758 0.242 0.750
In2 In 0.242 0.758 0.250


# 4
# TbThPd PBE optimized geometry
# energy of formation from the pure elements = -286.1 meV/atom
# distance to the lowest polymorph of the same formula = 0.0 kJ per mole of atoms
# calculated volume = 86.1 Å³/cell
# total magnetic moment = 0.00 μB per atom
# space group = No. 216
data_TbThPd
_cell_length_a 4.956
_cell_length_b 4.956
_cell_length_c 4.956
_cell_angle_alpha 60.00
_cell_angle_beta 60.00
_cell_angle_gamma 60.00
_symmetry_space_group_name_H-M 'P 1'
_symmetry_Int_Tables_number 1
_symmetry_space_group_name_Hall 'P 1'
loop_
_atom_site_label
_atom_site_type_symbol
_atom_site_fract_x
_atom_site_fract_y
_atom_site_fract_z
Pd1 Pd 0.000 0.000 0.000
Th1 Th 0.750 0.750 0.750
Tb1 Tb 0.250 0.250 0.250


# 5
# Zn4SO3 PBE optimized geometry
# distance to the lowest polymorph of the same formula = 19.8 kJ per mole of atoms
# calculated volume = 184.9 Å³/cell
# space group = No. 13
data_Zn4SO3
_cell_length_a 5.435
_cell_length_b 6.528
_cell_length_c 5.523
_cell_angle_alpha 90.00
_cell_angle_beta 109.41
_cell_angle_gamma 90.00
_symmetry_space_group_name_H-M 'P 1'
_symmetry_Int_Tables_number 1
_symmetry_space_group_name_Hall 'P 1'
loop_
_atom_site_label
_atom_site_type_symbol
_atom_site_fract_x
_atom_site_fract_y
_atom_site_fract_z
O1 O 0.500 0.825 0.250
O2 O 0.500 0.370 0.250
O3 O 0.000 0.397 0.750
O4 O 0.000 0.603 0.250
O5 O 0.500 0.175 0.750
O6 O 0.500 0.630 0.750
Zn1 Zn 0.728 0.843 0.021
Zn2 Zn 0.272 0.157 0.979
Zn3 Zn 0.749 0.608 0.485
Zn4 Zn 0.728 0.157 0.521
Zn5 Zn 0.749 0.392 0.985
Zn6 Zn 0.251 0.392 0.515
Zn7 Zn 0.272 0.843 0.479
Zn8 Zn 0.251 0.608 0.015
S1 S 0.000 0.118 0.250
S2 S 0.000 0.882 0.750


# 6
# Na4Si2IrPt PBE optimized geometry
# calculated volume = 130.9 Å³/cell
# uncorrected energy = -3.826 eV per atom
# total magnetic moment = 0.00 μB per atom
# space group = No. 115
data_Na4Si2IrPt
_cell_length_a 4.523
_cell_length_b 4.523
_cell_length_c 6.399
_cell_angle_alpha 90.00
_cell_angle_beta 90.00
_cell_angle_gamma 90.00
_symmetry_space_group_name_H-M 'P 1'
_symmetry_Int_Tables_number 1
_symmetry_space_group_name_Hall 'P 1'
loop_
_atom_site_label
_atom_site_type_symbol
_atom_site_fract_x
_atom_site_fract_y
_atom_site_fract_z
Na1 Na 0.500 0.000 0.245
Na2 Na 0.000 0.500 0.755
Na3 Na 0.000 0.000 0.000
Na4 Na 0.500 0.500 0.500
Pt1 Pt 0.500 0.500 0.000
Si1 Si 0.500 0.000 0.733
Si2 Si 0.000 0.500 0.267
Ir1 Ir 0.000 0.000 0.500


# 7
# Nd2GdZn3AgAu2 PBE optimized geometry
# energy of formation from the pure elements = -547.4 meV/atom
# calculated volume = 200.1 Å³/cell
# total magnetic moment = 0.00 μB per atom
# space group = No. 38
data_Nd2GdZn3AgAu2
_cell_length_a 3.925
_cell_length_b 7.666
_cell_length_c 7.666
_cell_angle_alpha 119.81
_cell_angle_beta 90.00
_cell_angle_gamma 90.00
_symmetry_space_group_name_H-M 'P 1'
_symmetry_Int_Tables_number 1
_symmetry_space_group_name_Hall 'P 1'
loop_
_atom_site_label
_atom_site_type_symbol
_atom_site_fract_x
_atom_site_fract_y
_atom_site_fract_z
Nd1 Nd 0.000 0.000 0.408
Nd2 Nd 0.000 0.408 0.000
Au1 Au 0.500 0.665 0.339
Au2 Au 0.500 0.339 0.665
Zn1 Zn 0.500 0.997 0.744
Zn2 Zn 0.500 0.257 0.257
Zn3 Zn 0.500 0.744 0.997
Gd1 Gd 0.000 0.593 0.593
Ag1 Ag 0.000 0.997 0.997


# 8
# RbPrCoS3 PBE optimized geometry
# calculated volume = 327.0 Å³/cell
# uncorrected energy = -5.439 eV per atom
# total magnetic moment = 0.50 μB per atom
# space group = No. 63
data_RbPrCoS3
_cell_length_a 4.068
_cell_length_b 7.617
_cell_length_c 10.951
_cell_angle_alpha 90.00
_cell_angle_beta 90.00
_cell_angle_gamma 74.51
_symmetry_space_group_name_H-M 'P 1'
_symmetry_Int_Tables_number 1
_symmetry_space_group_name_Hall 'P 1'
loop_
_atom_site_label
_atom_site_type_symbol
_atom_site_fract_x
_atom_site_fract_y
_atom_site_fract_z
S1 S 0.946 0.109 0.250
S2 S 0.379 0.242 0.580
S3 S 0.621 0.758 0.420
S4 S 0.379 0.242 0.920
S5 S 0.621 0.758 0.080
S6 S 0.054 0.891 0.750
Pr1 Pr 0.000 0.000 0.500
Pr2 Pr 0.000 0.000 0.000
Co1 Co 0.466 0.068 0.750
Co2 Co 0.534 0.932 0.250
Rb1 Rb 0.740 0.521 0.750
Rb2 Rb 0.260 0.479 0.250


# 9
# RbYOs PBE optimized geometry
# distance to the lowest polymorph of the same formula = 0.0 kJ per mole of atoms
# calculated volume = 85.7 Å³/cell
# total magnetic moment = 0.00 μB per atom
# space group = No. 216
data_RbYOs
_cell_length_a 4.949
_cell_length_b 4.949
_cell_length_c 4.949
_cell_angle_alpha 60.00
_cell_angle_beta 60.00
_cell_angle_gamma 60.00
_symmetry_space_group_name_H-M 'P 1'
_symmetry_Int_Tables_number 1
_symmetry_space_group_name_Hall 'P 1'
loop_
_atom_site_label
_atom_site_type_symbol
_atom_site_fract_x
_atom_site_fract_y
_atom_site_fract_z
Y1 Y 0.750 0.750 0.750
Os1 Os 0.000 0.000 0.000
Rb1 Rb 0.250 0.250 0.250


# 10
# Nd2Sm2I3Br2N PBE optimized geometry
# calculated volume = 310.5 Å³/cell
# uncorrected energy = -4.958 eV per atom
# total magnetic moment = 0.00 μB per atom
# space group = No. 12
data_Nd2Sm2I3Br2N
_cell_length_a 9.550
_cell_length_b 9.550
_cell_length_c 8.627
_cell_angle_alpha 102.54
_cell_angle_beta 102.54
_cell_angle_gamma 23.87
_symmetry_space_group_name_H-M 'P 1'
_symmetry_Int_Tables_number 1
_symmetry_space_group_name_Hall 'P 1'
loop_
_atom_site_label
_atom_site_type_symbol
_atom_site_fract_x
_atom_site_fract_y
_atom_site_fract_z
Br1 Br 0.842 0.842 0.667
Br2 Br 0.158 0.158 0.333
Sm1 Sm 0.001 0.001 0.808
Sm2 Sm 0.999 0.999 0.192
Nd1 Nd 0.635 0.635 0.070
Nd2 Nd 0.365 0.365 0.930
I1 I 0.829 0.829 0.191
I2 I 0.171 0.171 0.809
I3 I 0.500 0.500 0.500
N1 N 0.500 0.500 0.000


# 11
# BeSnTeW PBE optimized geometry
# distance to the lowest polymorph of the same formula = 29.9 kJ per mole of atoms
# calculated volume = 77.5 Å³/cell
# total magnetic moment = 0.00 μB per atom
# space group = No. 216
data_BeSnTeW
_cell_length_a 4.785
_cell_length_b 4.785
_cell_length_c 4.785
_cell_angle_alpha 60.00
_cell_angle_beta 60.00
_cell_angle_gamma 60.00
_symmetry_space_group_name_H-M 'P 1'
_symmetry_Int_Tables_number 1
_symmetry_space_group_name_Hall 'P 1'
loop_
_atom_site_label
_atom_site_type_symbol
_atom_site_fract_x
_atom_site_fract_y
_atom_site_fract_z
Be1 Be 0.750 0.750 0.750
W1 W 0.000 0.000 0.000
Te1 Te 0.500 0.500 0.500
Sn1 Sn 0.250 0.250 0.250


# 12
# GeIrNO PBE optimized geometry
# distance to the lowest polymorph of the same formula = 20.9 kJ per mole of atoms
# calculated volume = 111.9 Å³/cell
# total magnetic moment = 0.00 μB per atom
# space group = No. 129
data_GeIrNO
_cell_length_a 3.682
_cell_length_b 3.682
_cell_length_c 8.252
_cell_angle_alpha 90.00
_cell_angle_beta 90.00
_cell_angle_gamma 90.00
_symmetry_space_group_name_H-M 'P 1'
_symmetry_Int_Tables_number 1
_symmetry_space_group_name_Hall 'P 1'
loop_
_atom_site_label
_atom_site_type_symbol
_atom_site_fract_x
_atom_site_fract_y
_atom_site_fract_z
N1 N 0.250 0.250 0.623
N2 N 0.750 0.750 0.377
Ir1 Ir 0.250 0.750 0.500
Ir2 Ir 0.750 0.250 0.500
O1 O 0.250 0.750 0.000
O2 O 0.750 0.250 0.000
Ge1 Ge 0.250 0.250 0.123
Ge2 Ge 0.750 0.750 0.877